# 1
VASP calculation (GGA-PBE) on a relaxed structure of AcEuCdRu.

For the energy of formation, the calculation gives -0.022 eV/atom. The total magnetization comes out at 27.8 Bohr magnetons per cell.

The space group is F-43m (No. 216) and the conventional cell measures 7.546, 7.546 and 7.546 Å, with angles of 90.00, 90.00 and 90.00 degrees. Symmetry generates all atoms from Ac at (0.000, 0.000, 0.000), Eu at (0.000, 0.000, 0.500), Cd at (0.250, 0.250, 0.750) and Ru at (0.250, 0.250, 0.250).

---

# 2
VASP calculation (GGA-PBE) on a relaxed structure of In12Sn5Hg2.

For the energy of formation, the calculation gives 0.035 eV/atom. The total magnetization comes out at 0.0 Bohr magnetons per cell.

The space group is C2/m (No. 12) and the conventional cell measures 18.451, 10.797 and 5.525 Å, with angles of 90.00, 106.42 and 90.00 degrees. Symmetry generates all atoms from In at (0.094, 0.000, 0.068), In at (0.094, 0.255, 0.595), In at (0.095, 0.500, 0.177), In at (0.202, 0.240, 0.206), Sn at (0.000, 0.000, 0.500), Sn at (0.188, 0.500, 0.769), Sn at (0.202, 0.000, 0.639) and Hg at (0.000, 0.261, 0.000).

---

# 3
VASP calculation (GGA-PBE) on a relaxed structure of Ce3Zn3Ga2.

For the energy of formation, the calculation gives -0.374 eV/atom. The total magnetization comes out at 9.4 Bohr magnetons per cell.

The space group is Cmcm (No. 63) and the conventional cell measures 4.495, 10.584 and 14.775 Å, with angles of 90.00, 90.00 and 90.00 degrees. Symmetry generates all atoms from Ce at (0.000, 0.096, 0.109), Ce at (0.000, 0.372, 0.250), Zn at (0.000, 0.336, 0.750), Zn at (0.000, 0.387, 0.035) and Ga at (0.000, 0.201, 0.600).